Below is WSe2I after structural relaxation, with properties calculated at the PBE level.

**E_form (uncorrected)**: -0.048 eV/atom
**E_tot**: -0.199 hartree per atom
**Magnetic moment**: 0.00 μB per cell
**Energy above the lowest structure with this stoichiometry**: 232 meV/atom

Lattice parameters (Å, degrees): 3.4658 6.8709 6.9705 62.16 76.02 89.69
Fractional positions:
W (0.0000, 0.0000, 0.0000)
Se (0.6192, 0.9607, 0.7556)
Se (0.8476, 0.6721, 0.3211)
I (0.4629, 0.2763, 0.0703)